Model a:
Below is a geometry-optimized CePuCuIr structure, with properties calculated at the PBE level.

The structure belongs to space group F-43m (No. 216); the cell edges are 6.636, 6.636 and 6.636 Å and the angles 90.00°, 90.00° and 90.00°. The inequivalent atoms are Ce at (0.000, 0.000, 0.000), Pu at (0.250, 0.250, 0.750), Cu at (0.000, 0.000, 0.500) and Ir at (0.250, 0.250, 0.250).

The calculation puts the spin magnetization at 19.6 μB/cell.

Model b:
Below is a geometry-optimized CePuCuIr structure, with properties calculated at the PBE level.

The structure belongs to space group F-43m (No. 216); the cell edges are 6.649, 6.649 and 6.649 Å and the angles 90.00°, 90.00° and 90.00°. The inequivalent atoms are Ce at (0.000, 0.000, 0.000), Pu at (0.250, 0.250, 0.750), Cu at (0.250, 0.250, 0.250) and Ir at (0.000, 0.000, 0.500).

The calculation puts the spin magnetization at 20.4 μB/cell.

model b is the most stable structure; the next one sits 0.042 eV/atom above it.

Model a:
Below is a geometry-optimized La2CeCu structure, with properties calculated at the PBE level.

The structure belongs to space group R-3m (No. 166, hexagonal axes); the cell edges are 3.4542, 3.4542 and 33.1035 Å and the angles 90.00°, 90.00° and 120.00°. The inequivalent atoms are La at (0.0000, 0.0000, 0.0987), Ce at (0.0000, 0.0000, 0.0000) and Cu at (0.0000, 0.0000, 0.5000).

The calculation puts the spin magnetization at 1.4 μB/cell.

Model b:
Below is a geometry-optimized La2CeCu structure, with properties calculated at the PBE level.

The structure belongs to space group P4/mmm (No. 123); the cell edges are 3.650, 3.650 and 8.338 Å and the angles 90.00°, 90.00° and 90.00°. The inequivalent atoms are La at (0.000, 0.000, 0.218), Ce at (0.500, 0.500, 0.500) and Cu at (0.500, 0.500, 0.000).

The calculation puts the spin magnetization at 0.0 μB/cell.

model b is the most stable structure; the next one sits 0.263 eV/atom above it.

Model a:
Below is a geometry-optimized CeLuCu structure, with properties calculated at the PBE level.

The structure belongs to space group I4mm (No. 107); the cell edges are 3.403, 3.403 and 12.403 Å and the angles 90.00°, 90.00° and 90.00°. The inequivalent atoms are Ce at (0.000, 0.000, 0.000), Lu at (0.000, 0.000, 0.714) and Cu at (0.000, 0.000, 0.341).

The calculation puts the spin magnetization at 2.5 μB/cell.

Model b:
Below is a geometry-optimized CeLuCu structure, with properties calculated at the PBE level.

The structure belongs to space group P3m1 (No. 156); the cell edges are 4.7900, 4.7900 and 3.6236 Å and the angles 90.00°, 90.00° and 120.00°. The inequivalent atoms are Ce at (0.0000, 0.0000, 0.0000), Lu at (0.6667, 0.3333, 0.5287) and Cu at (0.3333, 0.6667, 0.4025).

The calculation puts the spin magnetization at 0.9 μB/cell.

model a is the most stable structure; the next one sits 0.182 eV/atom above it.

Model a:
Below is a geometry-optimized Ce2LuCu structure, with properties calculated at the PBE level.

The structure belongs to space group R-3m (No. 166, hexagonal axes); the cell edges are 3.4735, 3.4735 and 30.0278 Å and the angles 90.00°, 90.00° and 120.00°. The inequivalent atoms are Ce at (0.0000, 0.0000, 0.2383), Lu at (0.0000, 0.0000, 0.0000) and Cu at (0.0000, 0.0000, 0.5000).

The calculation puts the spin magnetization at 4.1 μB/cell.

Model b:
Below is a geometry-optimized Ce2LuCu structure, with properties calculated at the PBE level.

The structure belongs to space group P4/mmm (No. 123); the cell edges are 3.614, 3.614 and 7.908 Å and the angles 90.00°, 90.00° and 90.00°. The inequivalent atoms are Ce at (0.000, 0.000, 0.197), Lu at (0.500, 0.500, 0.500) and Cu at (0.500, 0.500, 0.000).

The calculation puts the spin magnetization at 0.4 μB/cell.

model b is the most stable structure; the next one sits 0.093 eV/atom above it.

Model a:
Below is a geometry-optimized Ce2MgCu structure, with properties calculated at the PBE level.

The structure belongs to space group P4/mmm (No. 123); the cell edges are 3.766, 3.766 and 6.936 Å and the angles 90.00°, 90.00° and 90.00°. The inequivalent atoms are Ce at (0.000, 0.000, 0.205), Mg at (0.500, 0.500, 0.500) and Cu at (0.500, 0.500, 0.000).

The calculation puts the spin magnetization at 1.5 μB/cell.

Model b:
Below is a geometry-optimized Ce2MgCu structure, with properties calculated at the PBE level.

The structure belongs to space group P4/mmm (No. 123); the cell edges are 4.269, 4.269 and 4.834 Å and the angles 90.00°, 90.00° and 90.00°. The inequivalent atoms are Ce at (0.000, 0.500, 0.000), Mg at (0.000, 0.000, 0.500) and Cu at (0.500, 0.500, 0.500).

The calculation puts the spin magnetization at 0.0 μB/cell.

model a is the most stable structure; the next one sits 0.033 eV/atom above it.

Model a:
Below is a geometry-optimized Ce2CuN2O2 structure, with properties calculated at the PBE level.

The structure belongs to space group I4/mmm (No. 139); the cell edges are 3.906, 3.906 and 11.934 Å and the angles 90.00°, 90.00° and 90.00°. The inequivalent atoms are Ce at (0.000, 0.000, 0.140), Cu at (0.000, 0.000, 0.500), N at (0.000, 0.500, 0.000) and O at (0.000, 0.500, 0.250).

The calculation puts the spin magnetization at 0.0 μB/cell.

Model b:
Below is a geometry-optimized Ce2CuN2O2 structure, with properties calculated at the PBE level.

The structure belongs to space group P-3m1 (No. 164); the cell edges are 3.7889, 3.7889 and 8.8872 Å and the angles 90.00°, 90.00° and 120.00°. The inequivalent atoms are Ce at (0.3333, 0.6667, 0.1729), Cu at (0.0000, 0.0000, 0.5000), N at (0.3333, 0.6667, 0.9121) and O at (0.0000, 0.0000, 0.2975).

The calculation puts the spin magnetization at 0.0 μB/cell.

model a is the most stable structure; the next one sits 0.206 eV/atom above it.

Model a:
Below is a geometry-optimized CeNd2Cu structure, with properties calculated at the PBE level.

The structure belongs to space group R3m (No. 160, hexagonal axes); the cell edges are 3.6432, 3.6432 and 30.5249 Å and the angles 90.00°, 90.00° and 120.00°. The inequivalent atoms are Ce at (0.0000, 0.0000, 0.0000), Nd at (0.0000, 0.0000, 0.5697), Nd at (0.0000, 0.0000, 0.7649) and Cu at (0.0000, 0.0000, 0.1672).

The calculation puts the spin magnetization at 4.0 μB/cell.

Model b:
Below is a geometry-optimized CeNd2Cu structure, with properties calculated at the PBE level.

The structure belongs to space group R-3m (No. 166, hexagonal axes); the cell edges are 3.4220, 3.4220 and 33.5589 Å and the angles 90.00°, 90.00° and 120.00°. The inequivalent atoms are Ce at (0.0000, 0.0000, 0.0000), Nd at (0.0000, 0.0000, 0.1004) and Cu at (0.0000, 0.0000, 0.5000).

The calculation puts the spin magnetization at 1.8 μB/cell.

model a is the most stable structure; the next one sits 0.137 eV/atom above it.

Model a:
Below is a geometry-optimized CeNd2Cu structure, with properties calculated at the PBE level.

The structure belongs to space group P4/mmm (No. 123); the cell edges are 5.501, 5.501 and 3.496 Å and the angles 90.00°, 90.00° and 90.00°. The inequivalent atoms are Ce at (0.000, 0.000, 0.000), Nd at (0.000, 0.500, 0.500) and Cu at (0.500, 0.500, 0.000).

The calculation puts the spin magnetization at 0.0 μB/cell.

Model b:
Below is a geometry-optimized CeNd2Cu structure, with properties calculated at the PBE level.

The structure belongs to space group P4/mmm (No. 123); the cell edges are 3.600, 3.600 and 8.459 Å and the angles 90.00°, 90.00° and 90.00°. The inequivalent atoms are Ce at (0.000, 0.000, 0.000), Nd at (0.500, 0.500, 0.291) and Cu at (0.000, 0.000, 0.500).

The calculation puts the spin magnetization at 0.6 μB/cell.

model b is the most stable structure; the next one sits 0.137 eV/atom above it.

Model a:
Below is a geometry-optimized CeCuNi structure, with properties calculated at the PBE level.

The structure belongs to space group P-62m (No. 189); the cell edges are 6.8694, 6.8694 and 3.8444 Å and the angles 90.00°, 90.00° and 120.00°. The inequivalent atoms are Ce at (0.0000, 0.5917, 0.0000), Cu at (0.0000, 0.2325, 0.5000), Ni at (0.0000, 0.0000, 0.0000) and Ni at (0.3333, 0.6667, 0.5000).

The calculation puts the spin magnetization at 0.0 μB/cell.

Model b:
Below is a geometry-optimized CeCuNi structure, with properties calculated at the PBE level.

The structure belongs to space group Fddd (No. 70, origin choice 2); the cell edges are 7.560, 10.031 and 11.647 Å and the angles 90.00°, 90.00° and 90.00°. The inequivalent atoms are Ce at (0.000, 0.000, 0.000), Cu at (0.125, 0.003, 0.625) and Ni at (0.125, 0.125, 0.443).

The calculation puts the spin magnetization at 13.5 μB/cell.

Model c:
Below is a geometry-optimized CeCuNi structure, with properties calculated at the PBE level.

The structure belongs to space group P-6m2 (No. 187); the cell edges are 4.2668, 4.2668 and 3.4362 Å and the angles 90.00°, 90.00° and 120.00°. The inequivalent atoms are Ce at (0.0000, 0.0000, 0.0000), Cu at (0.6667, 0.3333, 0.5000) and Ni at (0.3333, 0.6667, 0.5000).

The calculation puts the spin magnetization at 0.4 μB/cell.

model a is the most stable structure; the next one sits 0.040 eV/atom above it.

Model a:
Below is a geometry-optimized CeCuOs structure, with properties calculated at the PBE level.

The structure belongs to space group Imma (No. 74); the cell edges are 4.855, 5.506 and 7.832 Å and the angles 90.00°, 90.00° and 90.00°. The inequivalent atoms are Ce at (0.000, 0.250, 0.130), Cu at (0.250, 0.250, 0.750) and Os at (0.000, 0.000, 0.500).

The calculation puts the spin magnetization at 0.0 μB/cell.

Model b:
Below is a geometry-optimized CeCuOs structure, with properties calculated at the PBE level.

The structure belongs to space group Cmcm (No. 63); the cell edges are 4.076, 13.632 and 4.964 Å and the angles 90.00°, 90.00° and 90.00°. The inequivalent atoms are Ce at (0.000, 0.117, 0.250), Cu at (0.000, 0.335, 0.250) and Os at (0.000, 0.500, 0.000).

The calculation puts the spin magnetization at 0.5 μB/cell.

model a is the most stable structure; the next one sits 0.376 eV/atom above it.

Model a:
Below is a geometry-optimized Ce2PaCu structure, with properties calculated at the PBE level.

The structure belongs to space group P4/mmm (No. 123); the cell edges are 4.313, 4.313 and 4.849 Å and the angles 90.00°, 90.00° and 90.00°. The inequivalent atoms are Ce at (0.000, 0.500, 0.000), Pa at (0.000, 0.000, 0.500) and Cu at (0.500, 0.500, 0.500).

The calculation puts the spin magnetization at 0.0 μB/cell.

Model b:
Below is a geometry-optimized Ce2PaCu structure, with properties calculated at the PBE level.

The structure belongs to space group P4/mmm (No. 123); the cell edges are 3.317, 3.317 and 8.518 Å and the angles 90.00°, 90.00° and 90.00°. The inequivalent atoms are Ce at (0.000, 0.000, 0.226), Pa at (0.500, 0.500, 0.500) and Cu at (0.500, 0.500, 0.000).

The calculation puts the spin magnetization at 0.0 μB/cell.

model b is the most stable structure; the next one sits 0.200 eV/atom above it.

Model a:
Below is a geometry-optimized CePaCu structure, with properties calculated at the PBE level.

The structure belongs to space group I4mm (No. 107); the cell edges are 3.027, 3.027 and 14.005 Å and the angles 90.00°, 90.00° and 90.00°. The inequivalent atoms are Ce at (0.000, 0.000, 0.000), Pa at (0.000, 0.000, 0.693) and Cu at (0.000, 0.000, 0.342).

The calculation puts the spin magnetization at 0.0 μB/cell.

Model b:
Below is a geometry-optimized CePaCu structure, with properties calculated at the PBE level.

The structure belongs to space group P3m1 (No. 156); the cell edges are 4.6494, 4.6494 and 3.4674 Å and the angles 90.00°, 90.00° and 120.00°. The inequivalent atoms are Ce at (0.0000, 0.0000, 0.0000), Pa at (0.3333, 0.6667, 0.6624) and Cu at (0.6667, 0.3333, 0.3748).

The calculation puts the spin magnetization at 0.2 μB/cell.

Model c:
Below is a geometry-optimized CePaCu structure, with properties calculated at the PBE level.

The structure belongs to space group Cmcm (No. 63); the cell edges are 3.112, 16.459 and 5.020 Å and the angles 90.00°, 90.00° and 90.00°. The inequivalent atoms are Ce at (0.000, 0.109, 0.250), Pa at (0.000, 0.202, 0.750) and Cu at (0.000, 0.456, 0.250).

The calculation puts the spin magnetization at 0.0 μB/cell.

model c is the most stable structure; the next one sits 0.061 eV/atom above it.